5
Lattice="5.287 0.000 0.000 0.000 5.287 0.000 0.000 0.000 5.594" Properties=species:S:1:pos:R:3 comment="BaZnHg2Pb PBE relaxed" n_ef_per_ev_cell=2.79 m_tot_mub_per_cell=0.000 density_g_cm3=8.62 formation_enthalpy_0k_ev_per_atom=-0.190 volume_a3_per_cell=156 sg=P4/mmm pbc="T T T"
Ba 0.000 0.000 0.000
Zn 2.643 2.643 2.797
Hg 0.000 2.643 2.797
Hg 2.643 0.000 2.797
Pb 2.643 2.643 0.000